## SrY (PBE)

Data for SrY after structural relaxation.

Properties
DFT formation energy, kJ/mol of atoms: 24.1
E_tot, eV/atom: -3.82

Cell lengths 3.8033, 3.8033, 19.2584 Å; angles 90.00, 90.00, 120.00 degrees
Space group R-3m (No. 166, hexagonal axes)
One atom of each set of equivalent atoms:
1 Sr 0.0000 0.0000 0.0000 x3
2 Y 0.0000 0.0000 0.5000 x3